# Sc2GaCu, optimized geometry, DFT PBE-GGA
data_Sc2GaCu
_space_group_name_H-M_alt 'P 63/m m c'
_space_group_IT_number 194
_space_group_name_Hall '-P 6c 2c'
_cell_length_a 4.4493
_cell_length_b 4.4493
_cell_length_c 9.6057
_cell_angle_alpha 90.00
_cell_angle_beta 90.00
_cell_angle_gamma 120.00
loop_
_atom_site_label
_atom_site_type_symbol
_atom_site_fract_x
_atom_site_fract_y
_atom_site_fract_z
Sc1 Sc 0.3333 0.6667 0.0979
Ga1 Ga 0.0000 0.0000 0.0000
Cu1 Cu 0.3333 0.6667 0.7500
# Total magnetic moment in μB/f.u.: 0.0
# ρ in g cm⁻³: 4.5
# E in eV/cell: -38.69